Record 1
Tb4Pm3Y5 (GGA-PBE, relaxed); ΔH_f (0 K) = 0.2282 eV per atom; density of states at the Fermi level = 1.5943 states/eV per atom
1.0
8.066 -2.970 0.000
8.066 2.970 0.000
-4.106 0.000 8.350
Tb Pm Y
4 3 5
Cartesian
-0.495 0.000 3.692 Tb
-0.204 0.000 7.335 Tb
12.229 0.000 1.014 Tb
12.521 0.000 4.658 Tb
2.417 0.000 1.918 Pm
8.066 0.000 0.000 Pm
9.608 0.000 6.432 Pm
0.000 0.000 0.000 Y
2.771 0.000 5.111 Y
5.638 0.000 2.504 Y
6.387 0.000 5.846 Y
9.255 0.000 3.239 Y

Record 2
TbPm5Y (GGA-PBE, relaxed); ΔH_f (0 K) = 1.0206 eV per atom; density of states at the Fermi level = 1.7996 states/eV per atom
1.0
-2.947 4.391 6.053
2.947 -4.391 6.053
2.947 4.391 -6.053
Tb Pm Y
1 5 1
Cartesian
0.000 0.000 0.000 Tb
2.947 1.560 0.000 Pm
0.000 0.000 3.042 Pm
0.000 4.391 0.000 Pm
0.000 0.000 9.065 Pm
0.000 2.831 6.053 Pm
0.000 0.000 6.053 Y

Record 3
Tb7Pm12Y (GGA-PBE, relaxed); ΔH_f (0 K) = 0.2443 eV per atom; density of states at the Fermi level = 1.3649 states/eV per atom
1.0
9.822 5.670 2.074
-9.822 5.670 2.074
0.000 -11.341 2.074
Tb Pm Y
7 12 1
Cartesian
0.000 0.000 0.000 Tb
-2.414 -1.403 1.810 Tb
2.422 -1.389 1.810 Tb
-0.008 2.792 1.810 Tb
0.008 -2.792 4.413 Tb
-2.422 1.389 4.413 Tb
2.414 1.403 4.413 Tb
-5.765 -1.347 2.078 Pm
-3.480 1.999 1.281 Pm
0.009 -4.013 1.281 Pm
-1.716 -5.666 4.145 Pm
4.049 -4.319 2.078 Pm
3.471 2.014 1.281 Pm
-3.471 -2.014 4.942 Pm
-4.049 4.319 4.145 Pm
1.716 5.666 2.078 Pm
-0.009 4.013 4.942 Pm
3.480 -1.999 4.942 Pm
5.765 1.347 4.145 Pm
0.000 0.000 3.111 Y

Record 4
Tb7PmY3 (GGA-PBE, relaxed); ΔH_f (0 K) = 0.1438 eV per atom; density of states at the Fermi level = 1.5440 states/eV per atom
1.0
7.025 0.000 0.000
0.000 5.575 0.000
-3.481 0.000 9.302
Tb Pm Y
7 1 3
Cartesian
0.000 0.000 0.000 Tb
0.009 2.788 2.716 Tb
0.040 2.788 5.980 Tb
0.041 0.000 7.731 Tb
3.503 0.000 1.571 Tb
3.504 2.788 3.322 Tb
3.535 2.788 6.586 Tb
-1.740 0.000 4.651 Pm
-1.524 2.788 9.296 Y
1.772 0.000 4.651 Y
5.068 2.788 0.006 Y

Record 5
TbPm5Y (GGA-PBE, relaxed); ΔH_f (0 K) = 0.1669 eV per atom; density of states at the Fermi level = 1.4860 states/eV per atom
1.0
3.099 -8.834 0.000
3.099 8.834 0.000
-1.752 0.000 8.813
Tb Pm Y
2 10 2
Cartesian
0.000 0.000 0.000 Tb
-0.876 0.000 4.407 Tb
0.123 3.288 5.694 Pm
1.785 6.323 6.610 Pm
2.328 2.725 0.316 Pm
0.999 -3.288 1.287 Pm
2.994 2.725 4.091 Pm
1.452 -2.725 4.722 Pm
3.447 3.288 7.526 Pm
2.118 -2.725 8.497 Pm
2.661 -6.323 2.203 Pm
4.323 -3.288 3.120 Pm
1.785 0.184 6.610 Y
2.661 -0.184 2.203 Y

Record 6
Tb6Pm3Y (GGA-PBE, relaxed); ΔH_f (0 K) = 0.1493 eV per atom; density of states at the Fermi level = 1.3270 states/eV per atom
1.0
5.440 -9.473 0.000
5.440 9.473 0.000
0.000 0.000 6.429
Tb Pm Y
12 6 2
Cartesian
5.440 8.830 3.215 Tb
2.896 3.983 6.354 Tb
5.440 4.314 4.502 Tb
3.589 0.854 5.157 Tb
3.589 -0.854 1.942 Tb
2.896 -3.983 3.139 Tb
7.985 3.983 6.354 Tb
7.292 0.854 5.157 Tb
7.292 -0.854 1.942 Tb
5.440 -4.314 1.287 Tb
7.985 -3.983 3.139 Tb
5.440 -8.830 0.000 Tb
1.927 2.175 2.485 Pm
1.927 -2.175 5.700 Pm
5.440 2.138 1.784 Pm
5.440 -2.138 4.999 Pm
8.954 2.175 2.485 Pm
8.954 -2.175 5.700 Pm
5.440 5.896 1.503 Y
5.440 -5.896 4.718 Y

Record 7
Tb15PmY4 (GGA-PBE, relaxed); ΔH_f (0 K) = 0.0181 eV per atom; density of states at the Fermi level = 1.3664 states/eV per atom
1.0
5.047 0.000 0.000
0.000 5.047 0.000
0.000 0.000 25.232
Tb Pm Y
15 1 4
Cartesian
0.000 0.000 0.000 Tb
0.000 0.000 5.065 Tb
0.000 0.000 10.094 Tb
0.000 0.000 15.138 Tb
0.000 0.000 20.167 Tb
0.000 2.524 2.537 Tb
0.000 2.524 7.576 Tb
0.000 2.524 12.616 Tb
0.000 2.524 17.657 Tb
0.000 2.524 22.695 Tb
2.524 0.000 2.537 Tb
2.524 0.000 7.576 Tb
2.524 0.000 12.616 Tb
2.524 0.000 17.657 Tb
2.524 0.000 22.695 Tb
2.524 2.524 0.000 Pm
2.524 2.524 5.056 Y
2.524 2.524 10.096 Y
2.524 2.524 15.136 Y
2.524 2.524 20.176 Y

Record 8
Tb5PmY5 (GGA-PBE, relaxed); ΔH_f (0 K) = 0.2983 eV per atom; density of states at the Fermi level = 1.7890 states/eV per atom
1.0
6.118 0.000 0.000
-3.059 5.299 0.000
0.000 0.000 11.498
Tb Pm Y
5 1 5
Cartesian
0.000 0.000 2.698 Tb
0.000 0.000 8.800 Tb
1.547 0.893 0.000 Tb
4.571 0.893 0.000 Tb
3.059 3.512 0.000 Tb
0.000 3.533 5.749 Pm
0.000 0.000 5.749 Y
0.000 3.533 2.013 Y
0.000 3.533 9.485 Y
3.059 1.766 3.898 Y
3.059 1.766 7.600 Y

Record 9
Tb2Pm3Y (GGA-PBE, relaxed); ΔH_f (0 K) = -0.0048 eV per atom; density of states at the Fermi level = 1.1887 states/eV per atom
1.0
5.432 -3.137 0.000
5.432 3.137 0.000
0.000 0.000 11.660
Tb Pm Y
4 6 2
Cartesian
1.812 1.043 2.915 Tb
9.053 -1.043 8.745 Tb
1.812 -1.043 8.745 Tb
9.053 1.043 2.915 Tb
0.000 0.000 0.000 Pm
0.000 0.000 5.830 Pm
3.616 0.000 0.000 Pm
3.616 0.000 5.830 Pm
7.249 0.000 0.000 Pm
7.249 0.000 5.830 Pm
5.432 1.047 2.915 Y
5.432 -1.047 8.745 Y

Record 10
Tb3PmY7 (GGA-PBE, relaxed); ΔH_f (0 K) = 0.1965 eV per atom; density of states at the Fermi level = 1.6608 states/eV per atom
1.0
7.104 0.000 0.000
-3.552 6.152 0.000
0.000 0.000 8.641
Tb Pm Y
3 1 7
Cartesian
5.326 3.075 0.000 Tb
3.552 0.002 0.000 Tb
1.777 3.075 0.000 Tb
0.000 4.101 2.898 Pm
0.000 2.065 5.764 Y
-1.764 5.120 5.764 Y
1.787 1.032 2.890 Y
1.764 5.120 5.764 Y
3.552 2.051 5.756 Y
5.317 1.032 2.890 Y
3.552 4.089 2.890 Y

Record 11
TbPm2Y2 (GGA-PBE, relaxed); ΔH_f (0 K) = 0.0168 eV per atom; density of states at the Fermi level = 1.3584 states/eV per atom
1.0
3.121 -1.800 0.000
3.121 1.800 0.000
-2.109 0.000 14.667
Tb Pm Y
1 2 2
Cartesian
0.000 0.000 0.000 Tb
-0.017 0.000 8.832 Pm
4.149 0.000 5.835 Pm
2.078 0.000 2.889 Y
2.055 0.000 11.778 Y

Record 12
Tb2PmY (GGA-PBE, relaxed); ΔH_f (0 K) = 0.0402 eV per atom; density of states at the Fermi level = 1.6898 states/eV per atom
1.0
5.571 0.000 0.000
0.000 1.779 6.636
0.000 -1.779 6.636
Tb Pm Y
2 1 1
Cartesian
0.000 0.000 0.000 Tb
2.785 0.000 1.689 Tb
2.785 0.000 5.154 Pm
0.000 0.000 9.777 Y

Record 13
Tb3Pm5Y (GGA-PBE, relaxed); ΔH_f (0 K) = 0.4876 eV per atom; density of states at the Fermi level = 1.5484 states/eV per atom
1.0
7.649 -5.840 0.000
7.649 5.840 0.000
-6.318 0.000 7.631
Tb Pm Y
6 10 2
Cartesian
0.000 0.000 0.000 Tb
-1.924 0.000 2.464 Tb
6.495 0.000 1.124 Tb
4.490 0.000 3.816 Tb
2.484 0.000 6.507 Tb
10.903 0.000 5.167 Tb
0.602 2.950 5.799 Pm
-1.149 0.000 5.593 Pm
4.490 2.963 3.816 Pm
1.341 0.000 3.458 Pm
8.377 2.950 1.832 Pm
0.602 -2.950 5.799 Pm
7.638 0.000 4.173 Pm
4.490 -2.963 3.816 Pm
10.128 0.000 2.038 Pm
8.377 -2.950 1.832 Pm
3.233 0.000 0.702 Y
5.746 0.000 6.929 Y

Record 14
Tb5Pm12Y2 (GGA-PBE, relaxed); ΔH_f (0 K) = 0.1296 eV per atom; density of states at the Fermi level = 1.4056 states/eV per atom
1.0
7.964 -5.108 0.000
7.964 5.108 0.000
-0.189 0.000 7.997
Tb Pm Y
5 12 2
Cartesian
0.000 0.000 0.000 Tb
3.738 0.000 7.913 Tb
5.532 0.000 3.337 Tb
10.206 0.000 4.661 Tb
12.000 0.000 0.084 Tb
4.774 2.750 5.641 Pm
2.354 0.000 4.967 Pm
6.258 2.312 0.894 Pm
9.480 2.312 7.103 Pm
10.964 2.750 2.357 Pm
6.996 0.000 6.329 Pm
8.742 0.000 1.668 Pm
4.774 -2.750 5.641 Pm
6.258 -2.312 0.894 Pm
9.480 -2.312 7.103 Pm
13.385 0.000 3.030 Pm
10.964 -2.750 2.357 Pm
7.869 2.710 3.999 Y
7.869 -2.710 3.999 Y

Record 15
Tb6PmY2 (GGA-PBE, relaxed); ΔH_f (0 K) = 0.1944 eV per atom; density of states at the Fermi level = 2.1824 states/eV per atom
1.0
5.800 -1.734 0.000
5.800 1.734 0.000
-3.011 0.000 14.990
Tb Pm Y
6 1 2
Cartesian
-0.229 0.000 3.469 Tb
3.102 0.000 1.561 Tb
2.630 0.000 8.442 Tb
5.960 0.000 6.548 Tb
5.488 0.000 13.429 Tb
8.819 0.000 11.521 Tb
0.000 0.000 0.000 Pm
2.862 0.000 5.002 Y
5.728 0.000 9.988 Y

Record 16
TbPm4Y7 (GGA-PBE, relaxed); ΔH_f (0 K) = 0.2728 eV per atom; density of states at the Fermi level = 1.7926 states/eV per atom
1.0
6.084 -2.959 0.000
6.084 2.959 0.000
-5.983 0.000 11.409
Tb Pm Y
1 4 7
Cartesian
0.000 0.000 0.000 Tb
-1.316 0.000 7.579 Pm
3.029 0.000 2.549 Pm
3.157 0.000 8.860 Pm
7.502 0.000 3.830 Pm
-0.985 0.000 3.519 Y
-2.956 0.000 10.531 Y
1.448 0.000 5.772 Y
6.084 0.000 0.000 Y
4.738 0.000 5.637 Y
9.142 0.000 0.878 Y
7.172 0.000 7.890 Y

Record 17
Tb8Pm3Y4 (GGA-PBE, relaxed); ΔH_f (0 K) = 0.3832 eV per atom; density of states at the Fermi level = 1.9544 states/eV per atom
1.0
6.730 -6.397 0.000
6.730 6.397 0.000
-3.446 0.000 5.881
Tb Pm Y
8 3 4
Cartesian
6.730 4.572 0.000 Tb
1.501 0.000 2.695 Tb
-0.254 0.000 5.814 Tb
5.007 3.259 2.941 Tb
5.007 -3.259 2.941 Tb
10.269 0.000 0.068 Tb
8.513 0.000 3.186 Tb
6.730 -4.572 0.000 Tb
-1.723 0.000 2.941 Pm
1.642 3.198 2.941 Pm
1.642 -3.198 2.941 Pm
3.365 3.198 0.000 Y
3.365 -3.198 0.000 Y
6.730 0.000 0.000 Y
5.007 0.000 2.941 Y

Record 18
Tb4PmY7 (GGA-PBE, relaxed); ΔH_f (0 K) = 0.2807 eV per atom; density of states at the Fermi level = 1.8373 states/eV per atom
1.0
6.059 -2.943 0.000
6.059 2.943 0.000
-5.882 0.000 11.287
Tb Pm Y
4 1 7
Cartesian
0.033 0.000 3.106 Tb
-1.727 0.000 9.248 Tb
7.962 0.000 2.040 Tb
6.202 0.000 8.181 Tb
3.118 0.000 5.644 Pm
-2.941 0.000 5.644 Y
1.617 0.000 0.022 Y
0.110 0.000 6.518 Y
4.299 0.000 1.975 Y
1.937 0.000 9.312 Y
6.125 0.000 4.770 Y
4.618 0.000 11.266 Y

Record 19
Tb4PmY8 (GGA-PBE, relaxed); ΔH_f (0 K) = 0.2013 eV per atom; density of states at the Fermi level = 1.2106 states/eV per atom
1.0
3.669 2.118 9.090
-3.669 2.118 9.090
0.000 -4.236 9.090
Tb Pm Y
4 1 8
Cartesian
0.000 0.000 0.000 Tb
-1.834 -1.059 9.090 Tb
-1.834 1.059 18.180 Tb
0.000 2.118 9.090 Tb
0.000 0.000 13.635 Pm
-2.032 -1.173 15.406 Y
0.000 0.000 5.934 Y
0.000 -2.346 11.864 Y
-2.032 1.173 11.864 Y
2.032 -1.173 15.406 Y
0.000 2.346 15.406 Y
0.000 0.000 21.336 Y
2.032 1.173 11.864 Y

Record 20
TbPm6Y4 (GGA-PBE, relaxed); ΔH_f (0 K) = 0.3122 eV per atom; density of states at the Fermi level = 1.5939 states/eV per atom
1.0
-3.366 3.366 8.480
3.366 -3.366 8.480
3.366 3.366 -8.480
Tb Pm Y
1 6 4
Cartesian
0.000 0.000 0.000 Tb
3.366 0.000 0.000 Pm
2.095 -2.095 5.508 Pm
1.271 1.271 2.972 Pm
0.000 3.366 0.000 Pm
-2.095 2.095 5.508 Pm
2.095 2.095 11.452 Pm
2.167 2.167 -2.104 Y
1.199 -1.199 10.584 Y
1.199 1.199 6.376 Y
-1.199 1.199 10.584 Y